[1]
{
  "formula": "Er4F",
  "functional": "GGA-PBE",
  "state": "optimized geometry",
  "cell": [[4.9838, 0.0000, 0.0000], [0.0000, 4.9838, 0.0000], [0.0000, 0.0000, 4.9838]],
  "species": ["Er", "Er", "Er", "Er", "F"],
  "fractional_positions": [[0.0000, 0.0000, 0.0000], [0.5000, 0.0000, 0.5000], [0.0000, 0.5000, 0.5000], [0.5000, 0.5000, 0.0000], [0.5000, 0.5000, 0.5000]],
  "e_tot_ev_per_atom": -4.93,
  "dos_at_fermi_per_ev_atom": 1.058,
  "magmom_total_mub_per_cell": 0.0,
  "formation_energy_uncorrected_ev_per_atom": -0.902
}

***

[2]
{
  "formula": "ErF3",
  "functional": "GGA-PBE",
  "state": "optimized geometry",
  "cell": [[3.4241, 0.0000, 0.0000], [0.0000, 4.7458, 0.0000], [-1.7120, -2.3729, 3.1702]],
  "species": ["F", "F", "F", "Er"],
  "fractional_positions": [[0.3017, 0.6696, 0.6034], [0.5000, 0.3523, 0.0000], [0.6983, 0.0661, 0.3966], [0.0000, 0.0786, 0.0000]],
  "e_tot_ev_per_atom": -6.56,
  "dos_at_fermi_per_ev_atom": 0.000,
  "magmom_total_mub_per_cell": 0.0,
  "formation_energy_uncorrected_ev_per_atom": -4.016
}

***

[3]
{
  "formula": "ErF4",
  "functional": "GGA-PBE",
  "state": "optimized geometry",
  "cell": [[-0.0897, -0.4458, 4.3607], [1.0399, -4.2393, -0.4119], [4.2583, 1.0259, 0.1925]],
  "species": ["Er", "F", "F", "F", "F"],
  "fractional_positions": [[0.0000, 0.0000, 0.0000], [0.2708, 0.7292, 0.7292], [0.7292, 0.2708, 0.7292], [0.7292, 0.7292, 0.2708], [0.2708, 0.2708, 0.2708]],
  "e_tot_ev_per_atom": -5.20,
  "dos_at_fermi_per_ev_atom": 1.736,
  "magmom_total_mub_per_cell": 1.0,
  "formation_energy_uncorrected_ev_per_atom": -2.787
}

***

[4]
{
  "formula": "ErF4",
  "functional": "GGA-PBE",
  "state": "optimized geometry",
  "cell": [[-3.1082, -2.6660, 1.4111], [0.4702, -2.4296, -3.5546], [2.9795, -2.3977, 2.0330]],
  "species": ["F", "F", "F", "F", "Er"],
  "fractional_positions": [[0.0000, 0.0000, 0.0000], [0.5000, 0.0000, 0.5000], [0.0000, 0.5000, 0.5000], [0.5000, 0.5000, 0.0000], [0.5000, 0.5000, 0.5000]],
  "e_tot_ev_per_atom": -5.52,
  "dos_at_fermi_per_ev_atom": 1.826,
  "magmom_total_mub_per_cell": 1.0,
  "formation_energy_uncorrected_ev_per_atom": -3.111
}

***

[5]
{
  "formula": "ErF3",
  "functional": "GGA-PBE",
  "state": "optimized geometry",
  "cell": [[-2.5085, 0.8015, 3.9565], [-3.6968, -4.6782, -1.3962], [4.0906, -4.2642, 3.4573]],
  "species": ["Er", "Er", "Er", "Er", "F", "F", "F", "F", "F", "F", "F", "F", "F", "F", "F", "F"],
  "fractional_positions": [[0.9614, 0.3644, 0.7500], [0.4614, 0.1356, 0.2500], [0.0386, 0.6356, 0.2500], [0.5386, 0.8644, 0.7500], [0.3670, 0.5358, 0.7500], [0.8670, 0.9642, 0.2500], [0.6330, 0.4642, 0.2500], [0.1330, 0.0358, 0.7500], [0.6527, 0.1609, 0.9362], [0.1527, 0.3391, 0.0638], [0.3473, 0.8391, 0.4362], [0.8473, 0.6609, 0.5638], [0.3473, 0.8391, 0.0638], [0.8473, 0.6609, 0.9362], [0.6527, 0.1609, 0.5638], [0.1527, 0.3391, 0.4362]],
  "e_tot_ev_per_atom": -6.70,
  "dos_at_fermi_per_ev_atom": 0.000,
  "magmom_total_mub_per_cell": 0.0,
  "formation_energy_uncorrected_ev_per_atom": -4.156
}

***

Copy entry 5 word for word.
{
  "formula": "ErF3",
  "functional": "GGA-PBE",
  "state": "optimized geometry",
  "cell": [[-2.5085, 0.8015, 3.9565], [-3.6968, -4.6782, -1.3962], [4.0906, -4.2642, 3.4573]],
  "species": ["Er", "Er", "Er", "Er", "F", "F", "F", "F", "F", "F", "F", "F", "F", "F", "F", "F"],
  "fractional_positions": [[0.9614, 0.3644, 0.7500], [0.4614, 0.1356, 0.2500], [0.0386, 0.6356, 0.2500], [0.5386, 0.8644, 0.7500], [0.3670, 0.5358, 0.7500], [0.8670, 0.9642, 0.2500], [0.6330, 0.4642, 0.2500], [0.1330, 0.0358, 0.7500], [0.6527, 0.1609, 0.9362], [0.1527, 0.3391, 0.0638], [0.3473, 0.8391, 0.4362], [0.8473, 0.6609, 0.5638], [0.3473, 0.8391, 0.0638], [0.8473, 0.6609, 0.9362], [0.6527, 0.1609, 0.5638], [0.1527, 0.3391, 0.4362]],
  "e_tot_ev_per_atom": -6.70,
  "dos_at_fermi_per_ev_atom": 0.000,
  "magmom_total_mub_per_cell": 0.0,
  "formation_energy_uncorrected_ev_per_atom": -4.156
}

***

Q: Which formula does entry 2 have?
A: ErF3